(1)
A relaxed ZnFeIr2 crystal, computed with PBE.

Summary:
DOS(E_F): 7.64 states/eV per cell
Crystal system: tetragonal
Energy of formation: -0.07 eV per formula unit
Calculated volume: 13.68 Å³/atom

Unit cell a=3.741 b=3.741 c=7.819 alpha=90.00 beta=90.00 gamma=90.00
Space group I-4m2 (No. 119)
Inequivalent atoms, fractional coordinates:
1 Zn 0.000 0.000 0.000 (multiplicity 2)
2 Fe 0.000 0.500 0.750 (multiplicity 2)
3 Ir 0.000 0.000 0.500 (multiplicity 2)
4 Ir 0.000 0.500 0.250 (multiplicity 2)

***

(2)
A relaxed ZnFe2Ir crystal, computed with PBE.

Summary:
DOS(E_F): 7.69 states/eV per cell
Crystal system: tetragonal
Energy of formation: -0.10 eV per formula unit
Calculated volume: 13.13 Å³/atom

Unit cell a=3.808 b=3.808 c=7.245 alpha=90.00 beta=90.00 gamma=90.00
Space group I-4m2 (No. 119)
Inequivalent atoms, fractional coordinates:
1 Zn 0.000 0.000 0.000 (multiplicity 2)
2 Fe 0.000 0.000 0.500 (multiplicity 2)
3 Fe 0.000 0.500 0.750 (multiplicity 2)
4 Ir 0.000 0.500 0.250 (multiplicity 2)

***

(3)
A relaxed ZnFe2Ir2 crystal, computed with PBE.

Summary:
DOS(E_F): 11.83 states/eV per cell
Crystal system: tetragonal
Energy of formation: 0.74 eV per formula unit
Calculated volume: 13.98 Å³/atom

Unit cell a=7.208 b=7.208 c=2.691 alpha=90.00 beta=90.00 gamma=90.00
Space group P4/mbm (No. 127)
Inequivalent atoms, fractional coordinates:
1 Zn 0.000 0.000 0.000 (multiplicity 2)
2 Fe 0.118 0.382 0.000 (multiplicity 4)
3 Ir 0.175 0.675 0.500 (multiplicity 4)

***

(4)
A relaxed ZnFe2Ir crystal, computed with PBE.

Summary:
DOS(E_F): 6.46 states/eV per cell
Crystal system: orthorhombic
Energy of formation: -0.12 eV per formula unit
Calculated volume: 13.13 Å³/atom

Unit cell a=2.933 b=4.275 c=8.374 alpha=90.00 beta=90.00 gamma=90.00
Space group Imm2 (No. 44)
Inequivalent atoms, fractional coordinates:
1 Zn 0.000 0.000 0.000 (multiplicity 2)
2 Fe 0.000 0.000 0.482 (multiplicity 2)
3 Fe 0.000 0.500 0.751 (multiplicity 2)
4 Ir 0.000 0.500 0.237 (multiplicity 2)

***

(5)
A relaxed ZnFe2Ir crystal, computed with PBE.

Summary:
DOS(E_F): 3.94 states/eV per cell
Crystal system: tetragonal
Energy of formation: -0.12 eV per formula unit
Calculated volume: 13.09 Å³/atom

Unit cell a=3.003 b=3.003 c=5.806 alpha=90.00 beta=90.00 gamma=90.00
Space group P4mm (No. 99)
Inequivalent atoms, fractional coordinates:
1 Zn 0.000 0.000 0.000 (multiplicity 1)
2 Fe 0.000 0.000 0.476 (multiplicity 1)
3 Fe 0.500 0.500 0.249 (multiplicity 1)
4 Ir 0.500 0.500 0.732 (multiplicity 1)

***

(6)
A relaxed ZnFe2Ir crystal, computed with PBE.

Summary:
DOS(E_F): 13.44 states/eV per cell
Crystal system: cubic
Energy of formation: -0.17 eV per formula unit
Calculated volume: 13.13 Å³/atom

Unit cell a=5.945 b=5.945 c=5.945 alpha=90.00 beta=90.00 gamma=90.00
Space group F-43m (No. 216)
Inequivalent atoms, fractional coordinates:
1 Zn 0.000 0.000 0.000 (multiplicity 4)
2 Fe 0.000 0.000 0.500 (multiplicity 4)
3 Fe 0.250 0.250 0.750 (multiplicity 4)
4 Ir 0.250 0.250 0.250 (multiplicity 4)

***

(7)
A relaxed ZnFeIr4 crystal, computed with PBE.

Summary:
Energy relative to the lowest polymorph listed for this composition: 0.438 eV per atom
DOS(E_F): 28.88 states/eV per cell
Crystal system: cubic
Energy of formation: 2.42 eV per formula unit
Calculated volume: 16.10 Å³/atom

Unit cell a=7.283 b=7.283 c=7.283 alpha=90.00 beta=90.00 gamma=90.00
Space group F-43m (No. 216)
Inequivalent atoms, fractional coordinates:
1 Zn 0.000 0.000 0.000 (multiplicity 4)
2 Fe 0.250 0.250 0.750 (multiplicity 4)
3 Ir 0.125 0.125 0.375 (multiplicity 16)

***

(8)
A relaxed ZnFe2Ir crystal, computed with PBE.

Summary:
DOS(E_F): 7.24 states/eV per cell
Crystal system: orthorhombic
Energy of formation: 0.18 eV per formula unit
Calculated volume: 13.33 Å³/atom

Unit cell a=2.849 b=4.442 c=8.426 alpha=90.00 beta=90.00 gamma=90.00
Space group Cmm2 (No. 35)
Inequivalent atoms, fractional coordinates:
1 Zn 0.000 0.000 0.000 (multiplicity 2)
2 Fe 0.000 0.000 0.480 (multiplicity 2)
3 Fe 0.000 0.500 0.251 (multiplicity 2)
4 Ir 0.000 0.500 0.735 (multiplicity 2)

***

(9)
A relaxed ZnFe2Ir4 crystal, computed with PBE.

Summary:
DOS(E_F): 19.47 states/eV per cell
Crystal system: hexagonal
Energy of formation: 1.13 eV per formula unit
Calculated volume: 14.25 Å³/atom

Unit cell a=4.2352 b=4.2352 c=12.8413 alpha=90.00 beta=90.00 gamma=120.00
Space group P6_3/mmc (No. 194)
Inequivalent atoms, fractional coordinates:
1 Zn 0.0000 0.0000 0.2500 (multiplicity 2)
2 Fe 0.3333 0.6667 0.0579 (multiplicity 4)
3 Ir 0.0000 0.0000 0.0000 (multiplicity 2)
4 Ir 0.3333 0.6667 0.2500 (multiplicity 2)
5 Ir 0.3333 0.6667 0.6394 (multiplicity 4)

***

(10)
A relaxed ZnFe14Ir crystal, computed with PBE.

Summary:
DOS(E_F): 29.05 states/eV per cell
Crystal system: orthorhombic
Energy of formation: 0.12 eV per formula unit
Calculated volume: 11.95 Å³/atom

Unit cell a=5.772 b=8.149 c=8.129 alpha=90.00 beta=90.00 gamma=90.00
Space group Cmmm (No. 65)
Inequivalent atoms, fractional coordinates:
1 Zn 0.000 0.000 0.000 (multiplicity 2)
2 Fe 0.000 0.000 0.500 (multiplicity 2)
3 Fe 0.000 0.248 0.251 (multiplicity 8)
4 Fe 0.000 0.500 0.500 (multiplicity 2)
5 Fe 0.249 0.000 0.258 (multiplicity 8)
6 Fe 0.250 0.250 0.000 (multiplicity 4)
7 Fe 0.250 0.250 0.500 (multiplicity 4)
8 Ir 0.000 0.500 0.000 (multiplicity 2)

***

(11)
A relaxed ZnFe3Ir crystal, computed with PBE.

Summary:
Energy relative to the lowest polymorph listed for this composition: 0.000 eV per atom
DOS(E_F): 5.35 states/eV per cell
Crystal system: cubic
Energy of formation: 6.04 eV per formula unit
Calculated volume: 20.29 Å³/atom

Unit cell a=4.664 b=4.664 c=4.664 alpha=90.00 beta=90.00 gamma=90.00
Space group Pm-3m (No. 221)
Inequivalent atoms, fractional coordinates:
1 Zn 0.000 0.000 0.000 (multiplicity 1)
2 Fe 0.000 0.500 0.500 (multiplicity 3)
3 Ir 0.500 0.500 0.500 (multiplicity 1)

***

(12)
A relaxed ZnFeIr2 crystal, computed with PBE.

Summary:
DOS(E_F): 8.71 states/eV per cell
Crystal system: orthorhombic
Energy of formation: 0.08 eV per formula unit
Calculated volume: 13.75 Å³/atom

Unit cell a=2.897 b=4.318 c=8.797 alpha=90.00 beta=90.00 gamma=90.00
Space group Imm2 (No. 44)
Inequivalent atoms, fractional coordinates:
1 Zn 0.000 0.000 0.000 (multiplicity 2)
2 Fe 0.000 0.500 0.742 (multiplicity 2)
3 Ir 0.000 0.000 0.484 (multiplicity 2)
4 Ir 0.000 0.500 0.246 (multiplicity 2)

***

(13)
A relaxed ZrFeIr2 crystal, computed with PBE.

Summary:
DOS(E_F): 9.32 states/eV per cell
Crystal system: monoclinic
Energy of formation: -0.99 eV per formula unit
Calculated volume: 15.60 Å³/atom

Unit cell a=9.162 b=2.895 c=4.808 alpha=90.00 beta=101.89 gamma=90.00
Space group C2/m (No. 12)
Inequivalent atoms, fractional coordinates:
1 Zr 0.000 0.000 0.000 (multiplicity 2)
2 Fe 0.000 0.500 0.500 (multiplicity 2)
3 Ir 0.243 0.000 0.728 (multiplicity 4)

***

(14)
A relaxed ZrFeIr2 crystal, computed with PBE.

Summary:
DOS(E_F): 9.46 states/eV per cell
Crystal system: tetragonal
Energy of formation: -1.48 eV per formula unit
Calculated volume: 15.60 Å³/atom

Unit cell a=3.894 b=3.894 c=8.230 alpha=90.00 beta=90.00 gamma=90.00
Space group I-4m2 (No. 119)
Inequivalent atoms, fractional coordinates:
1 Zr 0.000 0.000 0.000 (multiplicity 2)
2 Fe 0.000 0.500 0.750 (multiplicity 2)
3 Ir 0.000 0.000 0.500 (multiplicity 2)
4 Ir 0.000 0.500 0.250 (multiplicity 2)

***

(15)
A relaxed Zr4FeIr crystal, computed with PBE.

Summary:
Energy relative to the lowest polymorph listed for this composition: 0.000 eV per atom
DOS(E_F): 15.08 states/eV per cell
Crystal system: trigonal
Energy of formation: -1.45 eV per formula unit
Calculated volume: 21.38 Å³/atom

Unit cell a=4.6498 b=4.6498 c=20.5473 alpha=90.00 beta=90.00 gamma=120.00
Space group R-3m (No. 166, hexagonal axes)
Inequivalent atoms, fractional coordinates:
1 Zr 0.0000 0.0000 0.1202 (multiplicity 6)
2 Zr 0.0000 0.0000 0.3702 (multiplicity 6)
3 Fe 0.0000 0.0000 0.0000 (multiplicity 3)
4 Ir 0.0000 0.0000 0.5000 (multiplicity 3)

***

(16)
A relaxed Zr4FeIr crystal, computed with PBE.

Summary:
Energy relative to the lowest polymorph listed for this composition: 0.781 eV per atom
DOS(E_F): 29.41 states/eV per cell
Crystal system: cubic
Energy of formation: 3.23 eV per formula unit
Calculated volume: 20.05 Å³/atom

Unit cell a=7.836 b=7.836 c=7.836 alpha=90.00 beta=90.00 gamma=90.00
Space group F-43m (No. 216)
Inequivalent atoms, fractional coordinates:
1 Zr 0.124 0.124 0.376 (multiplicity 16)
2 Fe 0.000 0.000 0.000 (multiplicity 4)
3 Ir 0.250 0.250 0.750 (multiplicity 4)

***

(17)
A relaxed ZrFe2Ir2 crystal, computed with PBE.

Summary:
Energy relative to the lowest polymorph listed for this composition: 0.000 eV per atom
DOS(E_F): 8.60 states/eV per cell
Crystal system: tetragonal
Energy of formation: -1.14 eV per formula unit
Calculated volume: 14.48 Å³/atom

Unit cell a=7.250 b=7.250 c=2.755 alpha=90.00 beta=90.00 gamma=90.00
Space group P4/mbm (No. 127)
Inequivalent atoms, fractional coordinates:
1 Zr 0.000 0.000 0.000 (multiplicity 2)
2 Fe 0.117 0.383 0.000 (multiplicity 4)
3 Ir 0.177 0.677 0.500 (multiplicity 4)

***

(18)
A relaxed Zr3FeIr crystal, computed with PBE.

Summary:
Energy relative to the lowest polymorph listed for this composition: 0.000 eV per atom
DOS(E_F): 6.89 states/eV per cell
Crystal system: cubic
Energy of formation: 1.44 eV per formula unit
Calculated volume: 20.76 Å³/atom

Unit cell a=4.700 b=4.700 c=4.700 alpha=90.00 beta=90.00 gamma=90.00
Space group Pm-3m (No. 221)
Inequivalent atoms, fractional coordinates:
1 Zr 0.000 0.000 0.500 (multiplicity 3)
2 Fe 0.000 0.000 0.000 (multiplicity 1)
3 Ir 0.500 0.500 0.500 (multiplicity 1)

***

(19)
A relaxed ZrFe2Ir2 crystal, computed with PBE.

Summary:
Energy relative to the lowest polymorph listed for this composition: 0.059 eV per atom
DOS(E_F): 10.46 states/eV per cell
Crystal system: tetragonal
Energy of formation: -0.85 eV per formula unit
Calculated volume: 15.01 Å³/atom

Unit cell a=7.321 b=7.321 c=2.800 alpha=90.00 beta=90.00 gamma=90.00
Space group P4/mbm (No. 127)
Inequivalent atoms, fractional coordinates:
1 Zr 0.000 0.000 0.000 (multiplicity 2)
2 Fe 0.167 0.333 0.500 (multiplicity 4)
3 Ir 0.131 0.631 0.000 (multiplicity 4)

***

(20)
A relaxed ZrFe3Ir crystal, computed with PBE.

Summary:
Energy relative to the lowest polymorph listed for this composition: 0.612 eV per atom
DOS(E_F): 6.68 states/eV per cell
Crystal system: cubic
Energy of formation: 8.78 eV per formula unit
Calculated volume: 17.58 Å³/atom

Unit cell a=4.446 b=4.446 c=4.446 alpha=90.00 beta=90.00 gamma=90.00
Space group Pm-3m (No. 221)
Inequivalent atoms, fractional coordinates:
1 Zr 0.000 0.000 0.000 (multiplicity 1)
2 Fe 0.000 0.000 0.500 (multiplicity 3)
3 Ir 0.500 0.500 0.500 (multiplicity 1)

***

(21)
A relaxed ZrFe3Ir crystal, computed with PBE.

Summary:
Energy relative to the lowest polymorph listed for this composition: 0.000 eV per atom
DOS(E_F): 10.95 states/eV per cell
Crystal system: cubic
Energy of formation: 5.72 eV per formula unit
Calculated volume: 17.28 Å³/atom

Unit cell a=4.421 b=4.421 c=4.421 alpha=90.00 beta=90.00 gamma=90.00
Space group Pm-3m (No. 221)
Inequivalent atoms, fractional coordinates:
1 Zr 0.000 0.000 0.000 (multiplicity 1)
2 Fe 0.000 0.500 0.500 (multiplicity 3)
3 Ir 0.500 0.500 0.500 (multiplicity 1)

***

(22)
A relaxed Zr2FeIr9 crystal, computed with PBE.

Summary:
DOS(E_F): 10.17 states/eV per cell
Crystal system: tetragonal
Energy of formation: -5.71 eV per formula unit
Calculated volume: 15.26 Å³/atom

Unit cell a=3.938 b=3.938 c=11.812 alpha=90.00 beta=90.00 gamma=90.00
Space group P4/mmm (No. 123)
Inequivalent atoms, fractional coordinates:
1 Zr 0.000 0.000 0.170 (multiplicity 2)
2 Fe 0.000 0.000 0.500 (multiplicity 1)
3 Ir 0.000 0.500 0.000 (multiplicity 2)
4 Ir 0.000 0.500 0.344 (multiplicity 4)
5 Ir 0.500 0.500 0.170 (multiplicity 2)
6 Ir 0.500 0.500 0.500 (multiplicity 1)

***

(23)
A relaxed ZrFeIr2 crystal, computed with PBE.

Summary:
DOS(E_F): 4.31 states/eV per cell
Crystal system: tetragonal
Energy of formation: -1.52 eV per formula unit
Calculated volume: 15.97 Å³/atom

Unit cell a=3.300 b=3.300 c=5.864 alpha=90.00 beta=90.00 gamma=90.00
Space group P4/mmm (No. 123)
Inequivalent atoms, fractional coordinates:
1 Zr 0.000 0.000 0.000 (multiplicity 1)
2 Fe 0.000 0.000 0.500 (multiplicity 1)
3 Ir 0.500 0.500 0.269 (multiplicity 2)

***

(24)
A relaxed ZrFeIr2 crystal, computed with PBE.

Summary:
DOS(E_F): 15.60 states/eV per cell
Crystal system: tetragonal
Energy of formation: 0.38 eV per formula unit
Calculated volume: 17.27 Å³/atom

Unit cell a=3.976 b=3.976 c=17.483 alpha=90.00 beta=90.00 gamma=90.00
Space group I-42d (No. 122)
Inequivalent atoms, fractional coordinates:
1 Zr 0.000 0.000 0.000 (multiplicity 4)
2 Fe 0.000 0.000 0.500 (multiplicity 4)
3 Ir 0.206 0.250 0.625 (multiplicity 8)

***

(25)
A relaxed ZrFeIr2 crystal, computed with PBE.

Summary:
DOS(E_F): 8.00 states/eV per cell
Crystal system: orthorhombic
Energy of formation: -1.33 eV per formula unit
Calculated volume: 15.89 Å³/atom

Unit cell a=5.820 b=7.029 c=3.108 alpha=90.00 beta=90.00 gamma=90.00
Space group Cmmm (No. 65)
Inequivalent atoms, fractional coordinates:
1 Zr 0.000 0.000 0.000 (multiplicity 2)
2 Fe 0.000 0.500 0.000 (multiplicity 2)
3 Ir 0.250 0.250 0.500 (multiplicity 4)

***

(26)
A relaxed Zr2Fe2Ir crystal, computed with PBE.

Summary:
DOS(E_F): 9.86 states/eV per cell
Crystal system: tetragonal
Energy of formation: -1.53 eV per formula unit
Calculated volume: 16.15 Å³/atom

Unit cell a=6.481 b=6.481 c=3.845 alpha=90.00 beta=90.00 gamma=90.00
Space group P4/mbm (No. 127)
Inequivalent atoms, fractional coordinates:
1 Zr 0.184 0.316 0.000 (multiplicity 4)
2 Fe 0.116 0.616 0.500 (multiplicity 4)
3 Ir 0.000 0.000 0.500 (multiplicity 2)